# 1
{"formula": "TlCdIr2", "functional": "PBE", "state": "optimized geometry", "formation_enthalpy_0k_kj_per_mol_atoms": 38.7, "energy_ev_per_atom": -4.85, "density_g_cm3": 15.30, "magmom_total_mub_per_cell": 0.00, "crystal_system": "orthorhombic", "lattice": [[-2.862, 2.404, 4.920], [-6.100, 0.280, 0.941], [5.278, -3.079, -0.917]], "species": ["Tl", "Ir", "Ir", "Cd"], "fractional_positions": [[0.532, 0.532, 0.000], [0.969, 0.969, 0.000], [0.774, 0.274, 0.500], [0.226, 0.726, 0.500]]}


# 2
{"formula": "TlCd2Ir", "functional": "PBE", "state": "optimized geometry", "formation_enthalpy_0k_kj_per_mol_atoms": 34.4, "energy_ev_per_atom": -2.91, "density_g_cm3": 12.96, "magmom_total_mub_per_cell": 0.00, "crystal_system": "cubic", "lattice": [[4.829, 0.000, 0.000], [2.415, 4.182, 0.000], [2.415, 1.394, 3.943]], "species": ["Tl", "Ir", "Cd", "Cd"], "fractional_positions": [[0.750, 0.750, 0.750], [0.500, 0.500, 0.500], [0.000, 0.000, 0.000], [0.250, 0.250, 0.250]]}


# 3
{"formula": "TlCd2Ir", "functional": "PBE", "state": "optimized geometry", "formation_enthalpy_0k_kj_per_mol_atoms": 31.0, "energy_ev_per_atom": -2.94, "density_g_cm3": 11.93, "magmom_total_mub_per_cell": 0.06, "crystal_system": "trigonal", "lattice": [[-4.959, 5.117, 8.016], [-7.443, 4.373, 6.365], [-6.273, 2.362, 8.373]], "species": ["Tl", "Ir", "Cd", "Cd"], "fractional_positions": [[0.763, 0.763, 0.763], [0.503, 0.503, 0.503], [0.995, 0.995, 0.995], [0.239, 0.239, 0.239]]}


# 4
{"formula": "TlCdIr", "functional": "PBE", "state": "optimized geometry", "formation_enthalpy_0k_kj_per_mol_atoms": 35.3, "energy_ev_per_atom": -3.68, "density_g_cm3": 13.55, "magmom_total_mub_per_cell": 0.00, "crystal_system": "tetragonal", "lattice": [[-4.571, 3.089, 3.950], [-2.577, 1.846, 5.999], [1.255, 2.812, 0.484]], "species": ["Tl", "Ir", "Cd"], "fractional_positions": [[0.687, 0.687, 0.313], [0.337, 0.337, 0.663], [0.975, 0.975, 0.025]]}


# 5
{"formula": "Tl2CdIr", "functional": "PBE", "state": "optimized geometry", "formation_enthalpy_0k_kj_per_mol_atoms": 49.9, "energy_ev_per_atom": -3.11, "density_g_cm3": 13.51, "magmom_total_mub_per_cell": 0.00, "crystal_system": "monoclinic", "lattice": [[5.872, -0.006, 0.015], [-2.460, 4.750, -0.037], [0.958, 0.450, 3.144]], "species": ["Tl", "Tl", "Ir", "Cd"], "fractional_positions": [[0.000, 0.000, 0.000], [0.000, 0.500, 0.500], [0.500, 0.000, 0.500], [0.500, 0.500, 0.000]]}


# 6
{"formula": "Tl2CdIr", "functional": "PBE", "state": "optimized geometry", "formation_enthalpy_0k_kj_per_mol_atoms": 43.5, "energy_ev_per_atom": -3.18, "density_g_cm3": 13.97, "magmom_total_mub_per_cell": 0.00, "crystal_system": "tetragonal", "lattice": [[5.268, -0.017, 0.000], [1.455, 5.063, 0.000], [-3.362, -2.523, 3.176]], "species": ["Tl", "Tl", "Ir", "Cd"], "fractional_positions": [[0.000, 0.000, 0.000], [0.500, 0.500, 0.000], [0.750, 0.250, 0.500], [0.250, 0.750, 0.500]]}


# 7
{"formula": "TlCdIr2", "functional": "PBE", "state": "optimized geometry", "formation_enthalpy_0k_kj_per_mol_atoms": 33.2, "energy_ev_per_atom": -4.91, "density_g_cm3": 14.17, "magmom_total_mub_per_cell": 0.00, "crystal_system": "orthorhombic", "lattice": [[-2.531, 1.274, -0.416], [-0.541, 0.124, 3.667], [3.441, 6.927, 0.273]], "species": ["Tl", "Ir", "Ir", "Cd"], "fractional_positions": [[0.000, 0.000, 0.466], [0.000, 0.000, 0.044], [0.500, 0.500, 0.186], [0.500, 0.500, 0.803]]}


# 8
{"formula": "Tl4CdIr", "functional": "PBE", "state": "optimized geometry", "formation_enthalpy_0k_kj_per_mol_atoms": 75.1, "energy_ev_per_atom": -2.43, "density_g_cm3": 11.30, "magmom_total_mub_per_cell": 0.00, "crystal_system": "cubic", "lattice": [[0.000, 4.352, 4.352], [4.352, 0.000, 4.352], [4.352, 4.352, 0.000]], "species": ["Tl", "Tl", "Tl", "Tl", "Cd", "Ir"], "fractional_positions": [[0.877, 0.374, 0.374], [0.374, 0.374, 0.877], [0.374, 0.877, 0.374], [0.374, 0.374, 0.374], [0.750, 0.750, 0.750], [0.000, 0.000, 0.000]]}